Record 1
Density functional theory data (PBE-GGA) for a relaxed structure of PmTmSc4.

a = 8.4324 Å, b = 5.3202 Å, c = 9.8007 Å
α = 90.00°, β = 105.01°, γ = 129.12°
Positions (direct):
Sc 0.4572 0.7072 0.9172
Sc 0.5428 0.2928 0.0828
Pm 0.3769 0.6269 0.2537
Pm 0.6231 0.3731 0.7463
Sc 0.9600 0.2100 0.9172
Tm 0.1267 0.8767 0.7533
Tm 0.8733 0.1233 0.2467
Sc 0.0400 0.7900 0.0828
Sc 0.7969 0.0472 0.5837
Sc 0.2031 0.9528 0.4163
Sc 0.7132 0.4635 0.4163
Sc 0.2868 0.5365 0.5837

Excess energy over the best structure of this formula in the dataset ... 0.000 eV per atom

Record 2
Density functional theory data (PBE-GGA) for a relaxed structure of Pm2Tm5Sc4.

a = 3.4484 Å, b = 8.3623 Å, c = 11.2926 Å
α = 82.17°, β = 90.00°, γ = 90.00°
Last column: magnetic moment on the atom in μB.
Positions (direct):
Tm 0.0000 0.5000 0.0000  0.02
Sc 0.5000 0.3002 0.5465  0.14
Pm 0.0000 0.9494 0.6391  0.01
Sc 0.5000 0.8096 0.8803  0.02
Sc 0.5000 0.1904 0.1197  0.02
Sc 0.5000 0.6998 0.4535  0.14
Pm 0.0000 0.0506 0.3609  0.01
Tm 0.0000 0.5472 0.7010  0.19
Tm 0.0000 0.1562 0.8660  0.01
Tm 0.0000 0.4528 0.2990  0.19
Tm 0.0000 0.8438 0.1340  0.01

Excess energy over the best structure of this formula in the dataset ... 0.000 eV per atom

Record 3
Density functional theory data (PBE-GGA) for a relaxed structure of Pm5Tm6Sc2.

a = 3.5708 Å, b = 11.2204 Å, c = 20.2426 Å
α = 90.00°, β = 90.00°, γ = 90.00°
Positions (direct):
Tm 0.0000 0.2223 0.0562
Pm 0.5000 0.4366 0.4233
Tm 0.0000 0.3334 0.8833
Tm 0.0000 0.2777 0.5562
Sc 0.0000 0.8885 0.2141
Tm 0.0000 0.7777 0.9438
Sc 0.0000 0.3885 0.2859
Sc 0.0000 0.6115 0.7141
Pm 0.5000 0.6478 0.2779
Pm 0.5000 0.0000 0.5000
Tm 0.0000 0.8334 0.6167
Tm 0.0000 0.7223 0.4438
Pm 0.5000 0.9366 0.0767
Tm 0.5000 0.4203 0.1547
Pm 0.5000 0.3522 0.7221
Tm 0.0000 0.6666 0.1167
Tm 0.5000 0.9203 0.3453
Tm 0.5000 0.0797 0.6547
Sc 0.0000 0.1115 0.7859
Pm 0.5000 0.0634 0.9233
Pm 0.5000 0.8522 0.7779
Pm 0.5000 0.5634 0.5767
Tm 0.5000 0.5797 0.8453
Pm 0.5000 0.1478 0.2221
Pm 0.5000 0.5000 0.0000
Tm 0.0000 0.1666 0.3833

Record 4
Density functional theory data (PBE-GGA) for a relaxed structure of Pm8TmSc5.

a = 8.4921 Å, b = 8.2539 Å, c = 8.4968 Å
α = 117.11°, β = 97.83°, γ = 115.68°
Positions (direct):
Sc 0.4362 0.0026 0.4387
Pm 0.4729 0.8406 0.7770
Pm 0.2842 0.3042 0.4419
Tm 0.4150 0.4982 0.9134
Pm 0.5579 0.6579 0.3638
Pm 0.9366 0.1598 0.6324
Pm 0.1396 0.6969 0.9815
Sc 0.8784 0.8744 0.1731
Sc 0.2992 0.1258 0.0040
Pm 0.0605 0.7679 0.4892
Sc 0.0560 0.3141 0.0998
Pm 0.7206 0.2307 0.2926
Pm 0.7078 0.3432 0.9016
Sc 0.7849 0.6838 0.7410

Record 5
Density functional theory data (PBE-GGA) for a relaxed structure of Pm12TmSc3.

a = 5.0429 Å, b = 5.0429 Å, c = 20.1355 Å
α = 90.00°, β = 90.00°, γ = 90.00°
Positions (direct):
Pm 0.5000 0.0000 0.3759
Pm 0.0000 0.5000 0.8721
Pm 0.5000 0.5000 0.5000
Pm 0.5000 0.5000 0.0000
Pm 0.5000 0.0000 0.6241
Pm 0.5000 0.0000 0.1279
Pm 0.5000 0.5000 0.7481
Sc 0.0000 0.0000 0.5000
Tm 0.0000 0.0000 0.0000
Pm 0.5000 0.5000 0.2519
Sc 0.0000 0.0000 0.7482
Sc 0.0000 0.0000 0.2518
Pm 0.0000 0.5000 0.6241
Pm 0.5000 0.0000 0.8721
Pm 0.0000 0.5000 0.1279
Pm 0.0000 0.5000 0.3759

Record 6
Density functional theory data (PBE-GGA) for a relaxed structure of Pm2Tm5Sc5.

a = 4.8064 Å, b = 7.6607 Å, c = 10.2852 Å
α = 72.82°, β = 76.49°, γ = 71.72°
Positions (direct):
Pm 0.0822 0.5874 0.2481
Tm 0.8347 0.8321 0.4986
Tm 0.2464 0.7528 0.7544
Sc 0.5835 0.0813 0.7517
Pm 0.9178 0.4126 0.7519
Tm 0.7536 0.2472 0.2456
Tm 0.1653 0.1679 0.5014
Sc 0.4165 0.9187 0.2483
Tm 0.0000 0.0000 0.0000
Sc 0.6672 0.6669 0.9986
Sc 0.5000 0.5000 0.5000
Sc 0.3328 0.3331 0.0014

Record 7
Density functional theory data (PBE-GGA) for a relaxed structure of Pm4Tm5Sc2.

a = 3.4745 Å, b = 8.4754 Å, c = 13.9684 Å
α = 122.35°, β = 97.14°, γ = 90.00°
Positions (direct):
Pm 0.0389 0.7324 0.0779
Tm 0.8167 0.1080 0.6333
Sc 0.4118 0.5211 0.8236
Tm 0.8712 0.7816 0.7424
Pm 0.7239 0.6233 0.4477
Tm 0.1833 0.8920 0.3667
Pm 0.2761 0.3767 0.5523
Tm 0.1288 0.2184 0.2576
Pm 0.9611 0.2676 0.9221
Sc 0.5882 0.4789 0.1764
Tm 0.5000 0.0000 0.0000

Record 8
Density functional theory data (PBE-GGA) for a relaxed structure of PmTm7Sc4.

a = 6.9041 Å, b = 5.9778 Å, c = 10.9493 Å
α = 79.48°, β = 50.89°, γ = 90.06°
Positions (direct):
Tm 0.0833 0.2827 0.6604
Tm 0.3371 0.7759 0.6627
Tm 0.5000 0.0000 0.0000
Tm 0.6629 0.2241 0.3373
Sc 0.5937 0.2761 0.6616
Tm 0.9167 0.7173 0.3396
Sc 0.8400 0.7827 0.6599
Tm 0.2581 0.4979 0.9962
Pm 0.0000 0.0000 0.0000
Sc 0.1600 0.2173 0.3401
Sc 0.4063 0.7239 0.3384
Tm 0.7419 0.5021 0.0038

Excess energy over the best structure of this formula in the dataset ... 0.000 eV per atom

Looking at uncorrected energy for the records above, in order, we have -5.69 -5.07 -4.81 -5.09 -5.00 -5.24 -4.79 -5.09 eV per atom.